# LaNbPbS PBE optimized geometry
# Total energy, eV/atom: -6.332
# Formation energy (no corrections), meV/atom: -624
# Symmetry: Pmm2 (25)
# DOS(E_F), states/eV per atom: 0.86
# ΔE to the lowest computed polymorph, kJ per mole of atoms: 9.81
data_LaNbPbS
_chemical_formula_sum 'La1 Nb1 Pb1 S1'
_space_group_name_H-M_alt 'P 1'
_space_group_IT_number 1
_space_group_name_Hall 'P 1'
_cell_length_a 3.519
_cell_length_b 4.297
_cell_length_c 6.725
_cell_angle_alpha 90.00
_cell_angle_beta 90.00
_cell_angle_gamma 90.00
loop_
_atom_site_label
_atom_site_type_symbol
_atom_site_fract_x
_atom_site_fract_y
_atom_site_fract_z
_atom_site_occupancy
La1 La 0.000 0.000 0.000 1
Nb1 Nb 0.000 0.500 0.404 1
Pb1 Pb 0.500 0.000 0.566 1
S1 S 0.500 0.500 0.135 1

***

# LaNbPbS PBE optimized geometry
# Total energy, eV/atom: -6.395
# Formation energy (no corrections), meV/atom: -687
# Symmetry: Amm2 (38)
# DOS(E_F), states/eV per atom: 0.71
# ΔE to the lowest computed polymorph, kJ per mole of atoms: 3.72
data_LaNbPbS
_chemical_formula_sum 'La1 Nb1 Pb1 S1'
_space_group_name_H-M_alt 'P 1'
_space_group_IT_number 1
_space_group_name_Hall 'P 1'
_cell_length_a 3.879
_cell_length_b 6.632
_cell_length_c 6.632
_cell_angle_alpha 36.24
_cell_angle_beta 90.00
_cell_angle_gamma 90.00
loop_
_atom_site_label
_atom_site_type_symbol
_atom_site_fract_x
_atom_site_fract_y
_atom_site_fract_z
_atom_site_occupancy
La1 La 0.000 0.000 0.000 1
Nb1 Nb 0.500 0.703 0.703 1
Pb1 Pb 0.000 0.268 0.268 1
S1 S 0.500 0.509 0.509 1

***

# LaNbPbS PBE optimized geometry
# Total energy, eV/atom: -6.419
# Formation energy (no corrections), meV/atom: -711
# Symmetry: R3m (160)
# DOS(E_F), states/eV per atom: 0.35
# ΔE to the lowest computed polymorph, kJ per mole of atoms: 1.36
data_LaNbPbS
_chemical_formula_sum 'La1 Nb1 Pb1 S1'
_space_group_name_H-M_alt 'P 1'
_space_group_IT_number 1
_space_group_name_Hall 'P 1'
_cell_length_a 7.852
_cell_length_b 7.852
_cell_length_c 7.852
_cell_angle_alpha 28.47
_cell_angle_beta 28.47
_cell_angle_gamma 28.47
loop_
_atom_site_label
_atom_site_type_symbol
_atom_site_fract_x
_atom_site_fract_y
_atom_site_fract_z
_atom_site_occupancy
La1 La 0.000 0.000 0.000 1
Nb1 Nb 0.209 0.209 0.209 1
Pb1 Pb 0.783 0.783 0.783 1
S1 S 0.590 0.590 0.590 1

***

# LaTaNb2Pb PBE optimized geometry
# Total energy, eV/atom: -7.129
# Calculated formation energy, eV per atom: 0.9970
# Symmetry: P4/mmm (123)
# DOS(E_F), states/eV per atom: 1.32
data_LaTaNb2Pb
_chemical_formula_sum 'La1 Ta1 Nb2 Pb1'
_space_group_name_H-M_alt 'P 1'
_space_group_IT_number 1
_space_group_name_Hall 'P 1'
_cell_length_a 4.938
_cell_length_b 4.938
_cell_length_c 5.796
_cell_angle_alpha 90.00
_cell_angle_beta 90.00
_cell_angle_gamma 90.00
loop_
_atom_site_label
_atom_site_type_symbol
_atom_site_fract_x
_atom_site_fract_y
_atom_site_fract_z
_atom_site_occupancy
La1 La 0.000 0.000 0.000 1
Ta1 Ta 0.000 0.000 0.500 1
Nb1 Nb 0.000 0.500 0.500 1
Nb2 Nb 0.500 0.000 0.500 1
Pb1 Pb 0.500 0.500 0.000 1

***

# LaNbPd3 PBE optimized geometry
# Total energy, eV/atom: -5.016
# Calculated formation energy, eV per atom: 1.0988
# Symmetry: Pm-3m (221)
# DOS(E_F), states/eV per atom: 2.40
# ΔE to the lowest computed polymorph, kJ per mole of atoms: 100.74
data_LaNbPd3
_chemical_formula_sum 'La1 Nb1 Pd3'
_space_group_name_H-M_alt 'P 1'
_space_group_IT_number 1
_space_group_name_Hall 'P 1'
_cell_length_a 5.033
_cell_length_b 5.033
_cell_length_c 5.033
_cell_angle_alpha 90.00
_cell_angle_beta 90.00
_cell_angle_gamma 90.00
loop_
_atom_site_label
_atom_site_type_symbol
_atom_site_fract_x
_atom_site_fract_y
_atom_site_fract_z
_atom_site_occupancy
La1 La 0.000 0.000 0.000 1
Nb1 Nb 0.500 0.500 0.500 1
Pd1 Pd 0.000 0.000 0.500 1
Pd2 Pd 0.000 0.500 0.000 1
Pd3 Pd 0.500 0.000 0.000 1

***

# LaNbPd3 PBE optimized geometry
# Total energy, eV/atom: -6.060
# Calculated formation energy, eV per atom: 0.0547
# Symmetry: Pm-3m (221)
# DOS(E_F), states/eV per atom: 0.84
# ΔE to the lowest computed polymorph, kJ per mole of atoms: 0.00
data_LaNbPd3
_chemical_formula_sum 'La1 Nb1 Pd3'
_space_group_name_H-M_alt 'P 1'
_space_group_IT_number 1
_space_group_name_Hall 'P 1'
_cell_length_a 4.927
_cell_length_b 4.927
_cell_length_c 4.927
_cell_angle_alpha 90.00
_cell_angle_beta 90.00
_cell_angle_gamma 90.00
loop_
_atom_site_label
_atom_site_type_symbol
_atom_site_fract_x
_atom_site_fract_y
_atom_site_fract_z
_atom_site_occupancy
La1 La 0.000 0.000 0.000 1
Nb1 Nb 0.500 0.500 0.500 1
Pd1 Pd 0.000 0.500 0.500 1
Pd2 Pd 0.500 0.000 0.500 1
Pd3 Pd 0.500 0.500 0.000 1

***

# LaNbPd PBE optimized geometry
# Total energy, eV/atom: -6.813
# Calculated formation energy, eV per atom: -0.0826
# Symmetry: Cmmm (65)
# DOS(E_F), states/eV per atom: 1.48
data_LaNbPd
_chemical_formula_sum 'La2 Nb2 Pd2'
_space_group_name_H-M_alt 'P 1'
_space_group_IT_number 1
_space_group_name_Hall 'P 1'
_cell_length_a 3.585
_cell_length_b 3.585
_cell_length_c 10.731
_cell_angle_alpha 90.00
_cell_angle_beta 90.00
_cell_angle_gamma 90.27
loop_
_atom_site_label
_atom_site_type_symbol
_atom_site_fract_x
_atom_site_fract_y
_atom_site_fract_z
_atom_site_occupancy
La1 La 0.000 0.000 0.174 1
La2 La 0.000 0.000 0.826 1
Nb1 Nb 0.500 0.500 0.386 1
Nb2 Nb 0.500 0.500 0.614 1
Pd1 Pd 0.000 0.000 0.500 1
Pd2 Pd 0.500 0.500 0.000 1

***

# La3NbPd PBE optimized geometry
# Total energy, eV/atom: -5.642
# Calculated formation energy, eV per atom: 0.3671
# Symmetry: Pm-3m (221)
# DOS(E_F), states/eV per atom: 0.35
# ΔE to the lowest computed polymorph, kJ per mole of atoms: 0.00
data_La3NbPd
_chemical_formula_sum 'La3 Nb1 Pd1'
_space_group_name_H-M_alt 'P 1'
_space_group_IT_number 1
_space_group_name_Hall 'P 1'
_cell_length_a 5.507
_cell_length_b 5.507
_cell_length_c 5.507
_cell_angle_alpha 90.00
_cell_angle_beta 90.00
_cell_angle_gamma 90.00
loop_
_atom_site_label
_atom_site_type_symbol
_atom_site_fract_x
_atom_site_fract_y
_atom_site_fract_z
_atom_site_occupancy
La1 La 0.000 0.000 0.500 1
La2 La 0.000 0.500 0.000 1
La3 La 0.500 0.000 0.000 1
Nb1 Nb 0.000 0.000 0.000 1
Pd1 Pd 0.500 0.500 0.500 1